(1)
The following is a PBE calculation of Ca3DyPb12 after structural relaxation, from Alexandria via LeMat-Bulk.

Cell lengths 4.9066, 4.9066, 19.8480 Å; angles 90.00, 90.00, 90.00 degrees
Positions (direct):
1 Ca 0.0000 0.0000 0.2480
2 Ca 0.0000 0.0000 0.5000
3 Ca 0.0000 0.0000 0.7520
4 Dy 0.0000 0.0000 0.0000
5 Pb 0.5000 0.5000 0.0000
6 Pb 0.5000 0.5000 0.2494
7 Pb 0.5000 0.5000 0.5000
8 Pb 0.5000 0.5000 0.7506
9 Pb 0.5000 0.0000 0.1233
10 Pb 0.5000 0.0000 0.3748
11 Pb 0.5000 0.0000 0.6252
12 Pb 0.5000 0.0000 0.8767
13 Pb 0.0000 0.5000 0.1233
14 Pb 0.0000 0.5000 0.3748
15 Pb 0.0000 0.5000 0.6252
16 Pb 0.0000 0.5000 0.8767

Properties
DFT formation energy	-0.308	eV/atom
calculated density	9.6	g cm⁻³
total magnetic moment	0.00	μB/cell

---

(2)
The following is a PBE calculation of Nd6AlSn4 after structural relaxation, from Alexandria via LeMat-Bulk.

Cell lengths 8.1003, 8.1003, 8.1003 Å; angles 89.80, 120.11, 120.11 degrees
Positions (direct):
1 Nd 0.0000 0.8977 0.5595
2 Nd 0.0000 0.5595 0.8977
3 Nd 0.6618 0.1023 0.1023
4 Nd 0.5000 0.0000 0.5000
5 Nd 0.3382 0.4405 0.4405
6 Nd 0.5000 0.5000 0.0000
7 Al 0.0000 0.0000 0.0000
8 Sn 0.0000 0.2713 0.5941
9 Sn 0.6772 0.4059 0.4059
10 Sn 0.0000 0.5941 0.2713
11 Sn 0.3228 0.7287 0.7287

Properties
DFT formation energy	-0.249	eV/atom
calculated density	6.1	g cm⁻³
total magnetic moment	0.00	μB/cell

---

(3)
The following is a PBE calculation of TbPm12Sc7 after structural relaxation, from Alexandria via LeMat-Bulk.

Cell lengths 9.1631, 9.1631, 9.1631 Å; angles 108.17, 108.17, 108.17 degrees
Positions (direct):
1 Tb 0.0000 0.0000 0.0000
2 Pm 0.7955 0.3252 0.6255
3 Pm 0.6748 0.3745 0.2045
4 Pm 0.4096 0.0617 0.2966
5 Pm 0.9383 0.7034 0.5904
6 Pm 0.3745 0.2045 0.6748
7 Pm 0.7034 0.5904 0.9383
8 Pm 0.2966 0.4096 0.0617
9 Pm 0.6255 0.7955 0.3252
10 Pm 0.0617 0.2966 0.4096
11 Pm 0.5904 0.9383 0.7034
12 Pm 0.3252 0.6255 0.7955
13 Pm 0.2045 0.6748 0.3745
14 Sc 0.1020 0.6850 0.9998
15 Sc 0.3150 0.0002 0.8980
16 Sc 0.0002 0.8980 0.3150
17 Sc 0.5000 0.5000 0.5000
18 Sc 0.9998 0.1020 0.6850
19 Sc 0.6850 0.9998 0.1020
20 Sc 0.8980 0.3150 0.0002

Properties
DFT formation energy	0.157	eV/atom
calculated density	5.9	g cm⁻³
total magnetic moment	0.01	μB/cell